# PBE-GGA Nb2Cd4O9, optimized geometry
data_Nb2Cd4O9
_chemical_formula_sum 'Nb4 Cd8 O18'
_space_group_name_H-M_alt 'P 1'
_space_group_IT_number 1
_cell_length_a 5.6397
_cell_length_b 5.6394
_cell_length_c 14.8428
_cell_angle_alpha 90.02
_cell_angle_beta 90.01
_cell_angle_gamma 60.00
loop_
_space_group_symop_operation_xyz
'x,y,z'
loop_
_atom_site_label
_atom_site_type_symbol
_atom_site_fract_x
_atom_site_fract_y
_atom_site_fract_z
_atom_site_occupancy
O1 O 0.7369 0.2629 0.2500 1
Cd1 Cd 0.3338 0.3330 0.7015 1
O2 O 0.0287 0.2942 0.0877 1
O3 O 0.7379 0.9996 0.7500 1
O4 O 0.3226 0.7063 0.4123 1
Nb1 Nb 0.0004 0.9997 0.6428 1
O5 O 0.9713 0.7058 0.9123 1
Cd2 Cd 0.3335 0.3333 0.9790 1
O6 O 0.6774 0.2937 0.5877 1
O7 O 0.7056 0.9712 0.4123 1
O8 O 0.2944 0.0288 0.5877 1
O9 O 0.9995 0.7377 0.2500 1
Cd3 Cd 0.3332 0.3335 0.4790 1
O10 O 0.2938 0.6771 0.0877 1
O11 O 0.2621 0.0004 0.2500 1
O12 O 0.9706 0.3234 0.4123 1
Nb2 Nb 0.0004 0.9998 0.8572 1
Cd4 Cd 0.6665 0.6667 0.0210 1
O13 O 0.7062 0.3229 0.9123 1
O14 O 0.3234 0.9708 0.9123 1
Nb3 Nb 0.9996 0.0002 0.1428 1
Nb4 Nb 0.9996 0.0003 0.3572 1
Cd5 Cd 0.6662 0.6670 0.2985 1
O15 O 0.0294 0.6766 0.5877 1
O16 O 0.6766 0.0292 0.0877 1
O17 O 0.0005 0.2623 0.7500 1
Cd6 Cd 0.6671 0.6664 0.7985 1
Cd7 Cd 0.6668 0.6665 0.5210 1
O18 O 0.2631 0.7371 0.7500 1
Cd8 Cd 0.3329 0.3336 0.2015 1
# * ρ: 6.332 g/cm3
# * formation energy (no corrections): -1.77 eV/atom
# * D(E_F): 0.00 states/eV/f.u.